Entry 1:
A relaxed MgNbCoTe2 crystal. Source: Alexandria, functional GGA-PBE.

abc: 5.331 5.331 5.367
angles: 90.00 90.00 90.00
Positions (direct):
Mg (0.000, 0.000, 0.000)
Nb (0.000, 0.000, 0.500)
Co (0.500, 0.500, 0.000)
Te (0.000, 0.500, 0.500)
Te (0.500, 0.000, 0.500)

Theoretical density ... 4.696 g/cm³
DFT total energy ... -4.10 eV per atom

Entry 2:
A relaxed MgNbZnCo crystal. Source: Alexandria, functional GGA-PBE.

abc: 4.389 4.389 4.389
angles: 60.00 60.00 60.00
Positions (direct):
Mg (0.000, 0.000, 0.000)
Nb (0.500, 0.500, 0.500)
Zn (0.250, 0.250, 0.250)
Co (0.750, 0.750, 0.750)

Theoretical density ... 6.709 g/cm³
DFT total energy ... -5.05 eV per atom
ΔH_f (0 K) ... -0.041 eV/atom

Entry 3:
A relaxed Mg2NbZnCo crystal. Source: Alexandria, functional GGA-PBE.

abc: 4.715 4.715 4.498
angles: 90.00 90.00 90.00
Positions (direct):
Mg (0.000, 0.500, 0.000)
Mg (0.500, 0.000, 0.000)
Nb (0.000, 0.000, 0.500)
Zn (0.500, 0.500, 0.500)
Co (0.000, 0.000, 0.000)

Theoretical density ... 4.414 g/cm³
DFT total energy ... -3.90 eV per atom
ΔH_f (0 K) ... 0.425 eV/atom

Entry 4:
A relaxed MgNbZn4Co2 crystal. Source: Alexandria, functional GGA-PBE.

abc: 3.478 3.478 10.548
angles: 90.00 90.00 90.00
Positions (direct):
Mg (0.000, 0.000, 0.000)
Nb (0.000, 0.000, 0.500)
Zn (0.000, 0.500, 0.223)
Zn (0.000, 0.500, 0.777)
Zn (0.500, 0.000, 0.223)
Zn (0.500, 0.000, 0.777)
Co (0.500, 0.500, 0.393)
Co (0.500, 0.500, 0.607)

Theoretical density ... 6.463 g/cm³
DFT total energy ... -3.76 eV per atom
ΔH_f (0 K) ... 0.114 eV/atom